Material: TlGa2Pt
Method: DFT, PBE
State: relaxed

Lattice parameters (Å, degrees): 7.847 7.847 5.777 90.00 90.00 90.00
Sites, in units of the cell vectors:
Tl1 0.000 0.000 0.000
Tl2 0.000 0.500 0.250
Tl3 0.500 0.000 0.750
Tl4 0.500 0.500 0.500
Ga1 0.184 0.250 0.625
Ga2 0.250 0.684 0.875
Ga3 0.250 0.816 0.375
Ga4 0.316 0.250 0.125
Ga5 0.684 0.750 0.125
Ga6 0.750 0.184 0.375
Ga7 0.750 0.316 0.875
Ga8 0.816 0.750 0.625
Pt1 0.000 0.000 0.500
Pt2 0.000 0.500 0.750
Pt3 0.500 0.000 0.250
Pt4 0.500 0.500 0.000

Properties
Energy above the most stable polymorph in this dataset   71 meV/atom
Uncorrected energy   -14.91 eV per formula unit
DFT formation energy   -0.11 eV per atom